A relaxed Nd3Dy8Tm4 crystal, computed with PBE-GGA.

Cell: 13.4019 12.7574 6.7180 Å, 90.00 120.05 90.00°
Last column: nearest neighbours and their distance in Å.
Space group C2/m (No. 12)
Inequivalent atoms, fractional coordinates:
Nd1 0.0000 0.0000 0.0000 [2 per cell]  6 Dy 3.18-3.28
Nd2 0.2500 0.2500 0.5000 [4 per cell]  4 Dy 3.21-3.35, 2 Tm 3.36
Dy1 0.0000 0.1422 0.5000 [4 per cell]  7 Dy 3.52-3.82, 4 Nd 3.62-3.82, 2 Tm 3.62
Dy2 0.0000 0.2492 0.0000 [4 per cell]  3 Nd 3.18-3.35, 3 Tm 3.20-3.35
Dy3 0.2287 0.0000 0.5157 [4 per cell]  3 Nd 3.21-3.28, 4 Dy 3.22-3.52, 1 Tm 3.46
Dy4 0.2457 0.0000 0.0106 [4 per cell]  4 Tm 3.19-3.44, 2 Dy 3.22-3.51, 1 Nd 3.26
Tm1 0.0000 0.5000 0.0000 [2 per cell]  6 Dy 3.20-3.46, 2 Tm 3.36
Tm2 0.0000 0.5000 0.5000 [2 per cell]  4 Dy 3.35-3.69, 2 Tm 3.36
Tm3 0.2500 0.2500 0.0000 [4 per cell]  4 Dy 3.19-3.35, 2 Nd 3.36

Properties
* crystal system: monoclinic
* energy of formation: 6.00 eV per formula unit



A relaxed CaCo4As crystal, computed with PBE-GGA.

Cell: 7.0201 7.0201 7.0201 Å, 90.00 90.00 90.00°
Last column: nearest neighbours and their distance in Å.
Space group F-43m (No. 216)
Inequivalent atoms, fractional coordinates:
Ca1 0.0000 0.0000 0.0000 [4 per cell]  12 Co 2.91, 4 As 3.04
Co1 0.1245 0.1245 0.6245 [16 per cell]  6 Co 2.47-2.49
As1 0.2500 0.2500 0.2500 [4 per cell]  12 Co 2.91, 4 Ca 3.04

Properties
* crystal system: cubic
* energy of formation: 0.71 eV per formula unit



A relaxed TmNiSn4 crystal, computed with PBE-GGA.

Cell: 8.3335 5.7195 6.2043 Å, 90.00 93.18 90.00°
Last column: nearest neighbours and their distance in Å.
Space group P2_1/c (No. 14)
Inequivalent atoms, fractional coordinates:
Tm1 0.0000 0.0000 0.0000 [2 per cell]  6 Sn 3.04-3.22
Ni1 0.5000 0.0000 0.5000 [2 per cell]  6 Sn 2.55-2.74
Sn1 0.1898 0.0492 0.5633 [4 per cell]  1 Ni 2.65
Sn2 0.3653 0.5896 0.6301 [4 per cell]  2 Ni 2.55-2.74

Properties
* crystal system: monoclinic
* offset from the most stable computed form: 167 meV per atom
* energy of formation: -0.89 eV per formula unit



A relaxed SrPd2I crystal, computed with PBE-GGA.

Cell: 7.2355 7.2355 7.2355 Å, 90.00 90.00 90.00°
Last column: nearest neighbours and their distance in Å.
Space group Fm-3m (No. 225)
Inequivalent atoms, fractional coordinates:
Sr1 0.0000 0.0000 0.0000 [4 per cell]  8 Pd 3.13
Pd1 0.2500 0.2500 0.2500 [8 per cell]  4 I 3.13, 4 Sr 3.13
I1 0.0000 0.0000 0.5000 [4 per cell]  8 Pd 3.13

Properties
* raw formation energy: -279 meV/atom
* crystal system: cubic
* offset from the most stable computed form: 16 meV per atom



A relaxed Ca3MoH crystal, computed with PBE-GGA.

Cell: 4.9538 4.9538 4.9538 Å, 90.00 90.00 90.00°
Last column: nearest neighbours and their distance in Å.
Space group Pm-3m (No. 221)
Inequivalent atoms, fractional coordinates:
Ca1 0.0000 0.0000 0.5000 [3 per cell]  2 H 2.48
Mo1 0.5000 0.5000 0.5000 [1 per cell]  12 Ca 3.50
H1 0.0000 0.0000 0.0000 [1 per cell]  6 Ca 2.48

Properties
* crystal system: cubic
* offset from the most stable computed form: 0 meV per atom



A relaxed BaSr3Ca crystal, computed with PBE-GGA.

Cell: 6.6586 6.6586 6.6586 Å, 90.00 90.00 90.00°
Last column: nearest neighbours and their distance in Å.
Space group Pm-3m (No. 221)
Inequivalent atoms, fractional coordinates:
Ba1 0.0000 0.0000 0.0000 [1 per cell]  6 Sr 3.33
Sr1 0.0000 0.0000 0.5000 [3 per cell]  2 Ba 3.33
Ca1 0.5000 0.5000 0.5000 [1 per cell]  12 Sr 4.71

Properties
* crystal system: cubic
* offset from the most stable computed form: 604 meV per atom
* energy of formation: 3.27 eV per formula unit



no.,total moment (μB per atom)
1,0.000
2,1.162
3,0.000
4,0.000
5,0.710
6,0.428